(1)
VASP calculation (PBE) on a relaxed Sc3Cl7O crystal.

## Properties
The value obtained for the density of states at the Fermi level is 0.0 states/eV per cell. As for the space group: No. 156. For the uncorrected formation energy, the calculation gives -2.3007 eV per atom.

Cell: 7.1731 7.1731 6.5205 Å, 90.00 90.00 120.00°
Last column: nearest neighbours and their distance in Å.
Fractional coordinates of all 11 atoms:
Sc 0.0264 0.5132 0.0000  1 O 2.03
Sc 0.4868 0.5132 0.0000  1 O 2.03
Sc 0.4868 0.9736 0.0000  1 O 2.03
Cl 0.1673 0.3346 0.2326  2 Sc 2.50
Cl 0.1673 0.8327 0.2326  2 Sc 2.50
Cl 0.3425 0.1713 0.7918  2 Sc 2.53
Cl 0.6654 0.8327 0.2326  2 Sc 2.50
Cl 0.6667 0.3333 0.2234  3 Sc 2.67
Cl 0.8287 0.1713 0.7918  2 Sc 2.53
Cl 0.8287 0.6575 0.7918  2 Sc 2.53
O 0.3333 0.6667 0.8934  3 Sc 2.03

---

(2)
VASP calculation (PBE) on a relaxed Pr4SmIn3 crystal.

## Properties
The value obtained for the calculated formation energy is -0.3516 eV/atom. The value obtained for the density of states at the Fermi level is 20.6 states/eV per cell. As for the space group: No. 139.

Cell: 5.0263 5.0263 19.2661 Å, 90.00 90.00 90.00°
Last column: nearest neighbours and their distance in Å.
Fractional coordinates of all 16 atoms:
Pr 0.0000 0.5000 0.1323  6 In 3.38-3.58, 4 Pr 3.55, 2 Sm 3.58
Pr 0.0000 0.5000 0.3677  6 In 3.38-3.58, 4 Pr 3.55, 2 Sm 3.58
Pr 0.0000 0.5000 0.6323  6 In 3.38-3.58, 4 Pr 3.55, 2 Sm 3.58
Pr 0.0000 0.5000 0.8677  6 In 3.38-3.58, 4 Pr 3.55, 2 Sm 3.58
Pr 0.5000 0.0000 0.1323  6 In 3.38-3.58, 4 Pr 3.55, 2 Sm 3.58
Pr 0.5000 0.0000 0.3677  6 In 3.38-3.58, 4 Pr 3.55, 2 Sm 3.58
Pr 0.5000 0.0000 0.6323  6 In 3.38-3.58, 4 Pr 3.55, 2 Sm 3.58
Pr 0.5000 0.0000 0.8677  6 In 3.38-3.58, 4 Pr 3.55, 2 Sm 3.58
Sm 0.0000 0.0000 0.0000  4 In 3.55, 8 Pr 3.58
Sm 0.5000 0.5000 0.5000  4 In 3.55, 8 Pr 3.58
In 0.0000 0.0000 0.2508  8 Pr 3.38-3.40, 4 In 3.55
In 0.0000 0.0000 0.5000  4 Sm 3.55, 8 Pr 3.58
In 0.0000 0.0000 0.7492  8 Pr 3.38-3.40, 4 In 3.55
In 0.5000 0.5000 0.0000  4 Sm 3.55, 8 Pr 3.58
In 0.5000 0.5000 0.2492  8 Pr 3.38-3.40, 4 In 3.55
In 0.5000 0.5000 0.7508  8 Pr 3.38-3.40, 4 In 3.55

---

(3)
VASP calculation (PBE) on a relaxed BeNi14Mo crystal.

## Properties
The value obtained for the calculated formation energy is -0.0409 eV/atom. The value obtained for the density of states at the Fermi level is 25.4 states/eV per cell. As for the space group: No. 123.

Cell: 5.0042 5.0042 7.0251 Å, 90.00 90.00 90.00°
Last column: nearest neighbours and their distance in Å.
Fractional coordinates of all 16 atoms:
Be 0.0000 0.0000 0.0000  12 Ni 2.47-2.50
Ni 0.0000 0.0000 0.5000  12 Ni 2.47-2.50
Ni 0.0000 0.5000 0.0000  8 Ni 2.49, 2 Mo 2.50, 2 Be 2.50
Ni 0.0000 0.5000 0.5000  12 Ni 2.50
Ni 0.2458 0.2458 0.2495  10 Ni 2.46-2.54, 1 Be 2.47, 1 Mo 2.51
Ni 0.2458 0.2458 0.7505  10 Ni 2.46-2.54, 1 Be 2.47, 1 Mo 2.51
Ni 0.2458 0.7542 0.2495  10 Ni 2.46-2.54, 1 Be 2.47, 1 Mo 2.51
Ni 0.2458 0.7542 0.7505  10 Ni 2.46-2.54, 1 Be 2.47, 1 Mo 2.51
Ni 0.5000 0.0000 0.0000  8 Ni 2.49, 2 Mo 2.50, 2 Be 2.50
Ni 0.5000 0.0000 0.5000  12 Ni 2.50
Ni 0.5000 0.5000 0.5000  12 Ni 2.50-2.52
Ni 0.7542 0.2458 0.2495  10 Ni 2.46-2.54, 1 Be 2.47, 1 Mo 2.51
Ni 0.7542 0.2458 0.7505  10 Ni 2.46-2.54, 1 Be 2.47, 1 Mo 2.51
Ni 0.7542 0.7542 0.2495  10 Ni 2.46-2.54, 1 Be 2.47, 1 Mo 2.51
Ni 0.7542 0.7542 0.7505  10 Ni 2.46-2.54, 1 Be 2.47, 1 Mo 2.51
Mo 0.5000 0.5000 0.0000  12 Ni 2.50-2.51

---

(4)
VASP calculation (PBE) on a relaxed BaHg2GeS4 crystal.

## Properties
As for the space group: No. 23. For the uncorrected formation energy, the calculation gives -0.5876 eV per atom.

Cell: 6.9833 7.9065 8.1924 Å, 90.00 90.00 90.00°
Last column: nearest neighbours and their distance in Å.
Fractional coordinates of all 16 atoms:
Ba 0.0000 0.0000 0.0000  8 S 3.32-3.52
Ba 0.5000 0.5000 0.5000  8 S 3.32-3.52
Hg 0.0000 0.5000 0.1990  2 S 2.38
Hg 0.0000 0.5000 0.8010  2 S 2.38
Hg 0.5000 0.0000 0.3010  2 S 2.38
Hg 0.5000 0.0000 0.6990  2 S 2.38
Ge 0.0000 0.0000 0.5000  4 S 2.66
Ge 0.5000 0.5000 0.0000  4 S 2.66
S 0.2287 0.1816 0.6914  1 Hg 2.38, 1 Ge 2.66
S 0.2287 0.8184 0.3086  1 Hg 2.38, 1 Ge 2.66
S 0.2713 0.3184 0.1914  1 Hg 2.38, 1 Ge 2.66
S 0.2713 0.6816 0.8086  1 Hg 2.38, 1 Ge 2.66
S 0.7287 0.3184 0.8086  1 Hg 2.38, 1 Ge 2.66
S 0.7287 0.6816 0.1914  1 Hg 2.38, 1 Ge 2.66
S 0.7713 0.1816 0.3086  1 Hg 2.38, 1 Ge 2.66
S 0.7713 0.8184 0.6914  1 Hg 2.38, 1 Ge 2.66

---

(5)
VASP calculation (PBE) on a relaxed DyHoTm2 crystal.

## Properties
The value obtained for the calculated formation energy is 0.0097 eV/atom. The value obtained for the density of states at the Fermi level is 18.2 states/eV per cell. As for the space group: No. 160.

Cell: 3.5328 3.5328 33.8446 Å, 90.00 90.00 120.00°
Last column: nearest neighbours and their distance in Å.
Fractional coordinates of all 12 atoms:
Dy 0.0000 0.0000 0.0000  6 Tm 3.48-3.50, 6 Dy 3.53
Dy 0.3333 0.6667 0.6667  6 Tm 3.48-3.50, 6 Dy 3.53
Dy 0.6667 0.3333 0.3333  6 Tm 3.48-3.50, 6 Dy 3.53
Ho 0.0000 0.0000 0.1658  6 Tm 3.45-3.48, 6 Ho 3.53
Ho 0.3333 0.6667 0.8324  6 Tm 3.45-3.48, 6 Ho 3.53
Ho 0.6667 0.3333 0.4991  6 Tm 3.45-3.48, 6 Ho 3.53
Tm 0.0000 0.0000 0.4167  3 Ho 3.45, 3 Dy 3.48, 6 Tm 3.53
Tm 0.0000 0.0000 0.5826  3 Ho 3.48, 3 Dy 3.50, 6 Tm 3.53
Tm 0.3333 0.6667 0.0834  3 Ho 3.45, 3 Dy 3.48, 6 Tm 3.53
Tm 0.3333 0.6667 0.2492  3 Ho 3.48, 3 Dy 3.50, 6 Tm 3.53
Tm 0.6667 0.3333 0.7501  3 Ho 3.45, 3 Dy 3.48, 6 Tm 3.53
Tm 0.6667 0.3333 0.9159  3 Ho 3.48, 3 Dy 3.50, 6 Tm 3.53

---

(6)
VASP calculation (PBE) on a relaxed LiMgAgBr4 crystal.

## Properties
The value obtained for the density of states at the Fermi level is 0.0 states/eV per cell. As for the space group: No. 74. For the uncorrected formation energy, the calculation gives -1.1566 eV per atom.

Cell: 8.1202 8.1202 8.1202 Å, 120.68 120.06 89.36°
Last column: nearest neighbours and their distance in Å.
Fractional coordinates of all 14 atoms:
Li 0.5000 0.0000 0.0000  6 Br 2.72-2.85
Li 0.5000 0.5000 0.5000  6 Br 2.72-2.85
Mg 0.0000 0.0000 0.0000  6 Br 2.67-2.74
Mg 0.5000 0.0000 0.5000  6 Br 2.67-2.74
Ag 0.1068 0.3568 0.7500  4 Br 2.67-2.75
Ag 0.8932 0.6432 0.2500  4 Br 2.67-2.75
Br 0.2534 0.2330 0.4796  2 Mg 2.74, 1 Ag 2.75, 1 Li 2.85
Br 0.2534 0.7738 0.0204  2 Mg 2.74, 1 Ag 2.75, 1 Li 2.85
Br 0.2554 0.2303 0.0251  1 Ag 2.67, 1 Mg 2.67, 2 Li 2.72
Br 0.2948 0.7697 0.5251  1 Ag 2.67, 1 Mg 2.67, 2 Li 2.72
Br 0.7052 0.2303 0.4749  1 Ag 2.67, 1 Mg 2.67, 2 Li 2.72
Br 0.7446 0.7697 0.9749  1 Ag 2.67, 1 Mg 2.67, 2 Li 2.72
Br 0.7466 0.2262 0.9796  2 Mg 2.74, 1 Ag 2.75, 1 Li 2.85
Br 0.7466 0.7670 0.5204  2 Mg 2.74, 1 Ag 2.75, 1 Li 2.85

---

no.,total DFT energy (no corrections) (eV per atom)
1,-5.65
2,-4.36
3,-6.01
4,-3.54
5,-4.52
6,-3.02